[1]
Compound: Ba8Bi3AuI4
Source: the Alexandria database
Functional: PBE
Structure: relaxed

The structure belongs to space group R-3m (No. 166, hexagonal axes); the cell edges are 10.1278, 10.1278 and 25.4095 Å and the angles 90.00°, 90.00° and 120.00°. The distinct sites, in fractional coordinates, are Ba at (0.0000, 0.0000, 0.2409), Ba at (0.0069, 0.5034, 0.2398), Bi at (0.0000, 0.5000, 0.5000), Au at (0.0000, 0.0000, 0.5000), I at (0.0000, 0.0000, 0.0000) and I at (0.0000, 0.5000, 0.0000).

The value obtained for the formation energy without anion corrections is -1216 meV per atom. The density of states at the Fermi level is 6.19 states/eV/f.u.



[2]
Compound: Ba6BiAu2I3
Source: the Alexandria database
Functional: PBE
Structure: relaxed

The structure belongs to space group C2/m (No. 12); the cell edges are 8.432, 14.615 and 9.205 Å and the angles 90.00°, 107.97° and 90.00°. The distinct sites, in fractional coordinates, are Ba at (0.225, 0.000, 0.216), Ba at (0.245, 0.326, 0.217), Bi at (0.000, 0.500, 0.000), Au at (0.000, 0.167, 0.000), I at (0.000, 0.000, 0.500) and I at (0.000, 0.339, 0.500).

The value obtained for the formation energy without anion corrections is -1100 meV per atom. The density of states at the Fermi level is 11.17 states/eV/f.u.



[3]
Compound: Ba8BiAu3I4
Source: the Alexandria database
Functional: PBE
Structure: relaxed

The structure belongs to space group R-3m (No. 166, hexagonal axes); the cell edges are 9.6839, 9.6839 and 26.4101 Å and the angles 90.00°, 90.00° and 120.00°. The distinct sites, in fractional coordinates, are Ba at (0.0000, 0.0000, 0.2356), Ba at (0.0106, 0.5053, 0.7612), Bi at (0.0000, 0.0000, 0.5000), Au at (0.0000, 0.5000, 0.5000), I at (0.0000, 0.0000, 0.0000) and I at (0.0000, 0.5000, 0.0000).

The value obtained for the formation energy without anion corrections is -1090 meV per atom. The density of states at the Fermi level is 11.94 states/eV/f.u.



[4]
Compound: Ba2In3BiAu4
Source: the Alexandria database
Functional: PBE
Structure: relaxed

The structure belongs to space group P-4m2 (No. 115); the cell edges are 5.063, 5.063 and 10.985 Å and the angles 90.00°, 90.00° and 90.00°. The distinct sites, in fractional coordinates, are Ba at (0.000, 0.500, 0.241), In at (0.000, 0.500, 0.888), In at (0.500, 0.500, 0.500), Bi at (0.000, 0.000, 0.500), Au at (0.000, 0.000, 0.000), Au at (0.000, 0.500, 0.639) and Au at (0.500, 0.500, 0.000).

Its formation energy is -51.9 kJ/mol of atoms. The density of states at the Fermi level is 6.65 states/eV/f.u.



[5]
Compound: Ba2InBiAu6
Source: the Alexandria database
Functional: PBE
Structure: relaxed

The structure belongs to space group Fm-3m (No. 225); the cell edges are 10.818, 10.818 and 10.818 Å and the angles 90.00°, 90.00° and 90.00°. The distinct sites, in fractional coordinates, are Ba at (0.250, 0.250, 0.250), In at (0.000, 0.000, 0.000), Bi at (0.000, 0.000, 0.500) and Au at (0.000, 0.000, 0.245).

Its formation energy is -27.7 kJ/mol of atoms. The density of states at the Fermi level is 3.34 states/eV/f.u.



[6]
Compound: Ba2InBi3Au4
Source: the Alexandria database
Functional: PBE
Structure: relaxed

The structure belongs to space group P-4m2 (No. 115); the cell edges are 5.028, 5.028 and 11.600 Å and the angles 90.00°, 90.00° and 90.00°. The distinct sites, in fractional coordinates, are Ba at (0.000, 0.500, 0.238), In at (0.000, 0.000, 0.500), Bi at (0.000, 0.500, 0.870), Bi at (0.500, 0.500, 0.500), Au at (0.000, 0.000, 0.000), Au at (0.000, 0.500, 0.626) and Au at (0.500, 0.500, 0.000).

Its formation energy is -49.8 kJ/mol of atoms. The density of states at the Fermi level is 4.77 states/eV/f.u.



[7]
Compound: KBaBi2Au
Source: the Alexandria database
Functional: PBE
Structure: relaxed

The structure belongs to space group P4/mmm (No. 123); the cell edges are 5.804, 5.804 and 5.723 Å and the angles 90.00°, 90.00° and 90.00°. The distinct sites, in fractional coordinates, are K at (0.000, 0.000, 0.000), Ba at (0.500, 0.500, 0.000), Bi at (0.000, 0.500, 0.500) and Au at (0.000, 0.000, 0.500).

Its formation energy is -29.8 kJ/mol of atoms. The density of states at the Fermi level is 1.86 states/eV/f.u.



[8]
Compound: BaLaBiAu2
Source: the Alexandria database
Functional: PBE
Structure: relaxed

The structure belongs to space group P4/mmm (No. 123); the cell edges are 5.672, 5.672 and 6.225 Å and the angles 90.00°, 90.00° and 90.00°. The distinct sites, in fractional coordinates, are Ba at (0.000, 0.000, 0.000), La at (0.500, 0.500, 0.500), Bi at (0.500, 0.500, 0.000) and Au at (0.000, 0.500, 0.500).

Its formation energy is -39.2 kJ/mol of atoms. The density of states at the Fermi level is 2.86 states/eV/f.u.



[9]
Compound: Ba2Li3BiAu12
Source: the Alexandria database
Functional: PBE
Structure: relaxed

The structure belongs to space group R-3m (No. 166, hexagonal axes); the cell edges are 7.0583, 7.0583 and 29.7743 Å and the angles 90.00°, 90.00° and 120.00°. The distinct sites, in fractional coordinates, are Ba at (0.0000, 0.0000, 0.1390), Li at (0.0000, 0.5000, 0.0000), Bi at (0.0000, 0.0000, 0.5000), Au at (0.0339, 0.5170, 0.9006) and Au at (0.0614, 0.5307, 0.6266).

Its formation energy is -29.6 kJ/mol of atoms. The density of states at the Fermi level is 5.53 states/eV/f.u.



[10]
Compound: Ba2LiBiAu6
Source: the Alexandria database
Functional: PBE
Structure: relaxed

The structure belongs to space group C2/m (No. 12); the cell edges are 13.696, 5.603 and 9.750 Å and the angles 90.00°, 133.70° and 90.00°. The distinct sites, in fractional coordinates, are Ba at (0.247, 0.000, 0.286), Li at (0.000, 0.000, 0.500), Bi at (0.000, 0.500, 0.000), Au at (0.000, 0.250, 0.273) and Au at (0.243, 0.000, 0.907).

Its formation energy is -46.5 kJ/mol of atoms. The density of states at the Fermi level is 3.58 states/eV/f.u.



[11]
Compound: Ba2LiBi4Au3
Source: the Alexandria database
Functional: PBE
Structure: relaxed

The structure belongs to space group P-4m2 (No. 115); the cell edges are 4.921, 4.921 and 12.282 Å and the angles 90.00°, 90.00° and 90.00°. The distinct sites, in fractional coordinates, are Ba at (0.000, 0.500, 0.243), Li at (0.500, 0.500, 0.000), Bi at (0.000, 0.000, 0.500), Bi at (0.000, 0.500, 0.872), Bi at (0.500, 0.500, 0.500), Au at (0.000, 0.000, 0.000) and Au at (0.000, 0.500, 0.642).

Its formation energy is -56.0 kJ/mol of atoms. The density of states at the Fermi level is 5.31 states/eV/f.u.



[12]
Compound: BaLiBi2Au
Source: the Alexandria database
Functional: PBE
Structure: relaxed

The structure belongs to space group P4/mmm (No. 123); the cell edges are 5.315, 5.315 and 5.135 Å and the angles 90.00°, 90.00° and 90.00°. The distinct sites, in fractional coordinates, are Ba at (0.000, 0.000, 0.000), Li at (0.500, 0.500, 0.500), Bi at (0.000, 0.500, 0.500) and Au at (0.500, 0.500, 0.000).

Its formation energy is -33.7 kJ/mol of atoms. The density of states at the Fermi level is 2.39 states/eV/f.u.



[13]
Compound: Ba2LiBi3Au4
Source: the Alexandria database
Functional: PBE
Structure: relaxed

The structure belongs to space group P-4m2 (No. 115); the cell edges are 4.976, 4.976 and 11.569 Å and the angles 90.00°, 90.00° and 90.00°. The distinct sites, in fractional coordinates, are Ba at (0.000, 0.500, 0.236), Li at (0.000, 0.000, 0.500), Bi at (0.000, 0.500, 0.866), Bi at (0.500, 0.500, 0.500), Au at (0.000, 0.000, 0.000), Au at (0.000, 0.500, 0.621) and Au at (0.500, 0.500, 0.000).

Its formation energy is -52.7 kJ/mol of atoms. The density of states at the Fermi level is 2.74 states/eV/f.u.



[14]
Compound: Ba2MgBi4Au3
Source: the Alexandria database
Functional: PBE
Structure: relaxed

The structure belongs to space group P-4m2 (No. 115); the cell edges are 4.969, 4.969 and 12.319 Å and the angles 90.00°, 90.00° and 90.00°. The distinct sites, in fractional coordinates, are Ba at (0.000, 0.500, 0.247), Mg at (0.000, 0.000, 0.500), Bi at (0.000, 0.000, 0.000), Bi at (0.000, 0.500, 0.635), Bi at (0.500, 0.500, 0.000), Au at (0.000, 0.500, 0.865) and Au at (0.500, 0.500, 0.500).

Its formation energy is -51.8 kJ/mol of atoms. The density of states at the Fermi level is 3.27 states/eV/f.u.



[15]
Compound: Ba2NaBiAu
Source: the Alexandria database
Functional: PBE
Structure: relaxed

The structure belongs to space group P4/mmm (No. 123); the cell edges are 6.223, 6.223 and 5.410 Å and the angles 90.00°, 90.00° and 90.00°. The distinct sites, in fractional coordinates, are Ba at (0.000, 0.500, 0.000), Na at (0.000, 0.000, 0.500), Bi at (0.500, 0.500, 0.500) and Au at (0.000, 0.000, 0.000).

Its formation energy is -45.8 kJ/mol of atoms. The density of states at the Fermi level is 2.91 states/eV/f.u.



[16]
Compound: Ba2Na2Bi4Au
Source: the Alexandria database
Functional: PBE
Structure: relaxed

The structure belongs to space group I4/mmm (No. 139); the cell edges are 7.709, 7.709 and 10.264 Å and the angles 90.00°, 90.00° and 90.00°. The distinct sites, in fractional coordinates, are Ba at (0.000, 0.500, 0.250), Na at (0.000, 0.000, 0.217), Bi at (0.230, 0.230, 0.000) and Au at (0.000, 0.000, 0.500).

Its formation energy is -49.9 kJ/mol of atoms. The density of states at the Fermi level is 6.16 states/eV/f.u.



[17]
Compound: Ba3BiAu2O6
Source: the Alexandria database
Functional: PBE
Structure: relaxed

The structure belongs to space group P-3m1 (No. 164); the cell edges are 6.1840, 6.1840 and 6.9933 Å and the angles 90.00°, 90.00° and 120.00°. The distinct sites, in fractional coordinates, are Ba at (0.0000, 0.0000, 0.0000), Ba at (0.3333, 0.6667, 0.6271), Bi at (0.0000, 0.0000, 0.5000), Au at (0.3333, 0.6667, 0.1158) and O at (0.1649, 0.3297, 0.3185).

The value obtained for the formation energy without anion corrections is -1378 meV per atom. The density of states at the Fermi level is 2.59 states/eV/f.u.



[18]
Compound: Ba2BiAuO6
Source: the Alexandria database
Functional: PBE
Structure: relaxed

The structure belongs to space group C2/m (No. 12); the cell edges are 11.951, 5.771 and 5.376 Å and the angles 90.00°, 111.47° and 90.00°. The distinct sites, in fractional coordinates, are Ba at (0.237, 0.000, 0.215), Bi at (0.000, 0.500, 0.000), Au at (0.000, 0.000, 0.500), O at (0.070, 0.239, 0.793) and O at (0.181, 0.500, 0.253).

The value obtained for the formation energy without anion corrections is -1518 meV per atom.



[19]
Compound: Ba5Bi2AuO
Source: the Alexandria database
Functional: PBE
Structure: relaxed

The structure belongs to space group P4/mmm (No. 123); the cell edges are 5.299, 5.299 and 12.700 Å and the angles 90.00°, 90.00° and 90.00°. The distinct sites, in fractional coordinates, are Ba at (0.000, 0.000, 0.000), Ba at (0.000, 0.500, 0.500), Ba at (0.500, 0.500, 0.250), Bi at (0.000, 0.000, 0.292), Au at (0.500, 0.500, 0.000) and O at (0.500, 0.500, 0.500).

The value obtained for the formation energy without anion corrections is -1196 meV per atom. The density of states at the Fermi level is 3.34 states/eV/f.u.



[20]
Compound: Ba2BiPb3Au4
Source: the Alexandria database
Functional: PBE
Structure: relaxed

The structure belongs to space group P-4m2 (No. 115); the cell edges are 5.059, 5.059 and 11.615 Å and the angles 90.00°, 90.00° and 90.00°. The distinct sites, in fractional coordinates, are Ba at (0.000, 0.500, 0.236), Bi at (0.000, 0.000, 0.500), Pb at (0.000, 0.500, 0.878), Pb at (0.500, 0.500, 0.500), Au at (0.000, 0.000, 0.000), Au at (0.000, 0.500, 0.635) and Au at (0.500, 0.500, 0.000).

Its formation energy is -45.3 kJ/mol of atoms. The density of states at the Fermi level is 4.57 states/eV/f.u.



[21]
Compound: Ba2BiPbAu6
Source: the Alexandria database
Functional: PBE
Structure: relaxed

The structure belongs to space group Fm-3m (No. 225); the cell edges are 10.965, 10.965 and 10.965 Å and the angles 90.00°, 90.00° and 90.00°. The distinct sites, in fractional coordinates, are Ba at (0.250, 0.250, 0.250), Bi at (0.000, 0.000, 0.000), Pb at (0.000, 0.000, 0.500) and Au at (0.000, 0.000, 0.251).

Its formation energy is -19.6 kJ/mol of atoms. The density of states at the Fermi level is 3.31 states/eV/f.u.



[22]
Compound: Ba2BiPb4Au3
Source: the Alexandria database
Functional: PBE
Structure: relaxed

The structure belongs to space group P-4m2 (No. 115); the cell edges are 5.231, 5.231 and 11.525 Å and the angles 90.00°, 90.00° and 90.00°. The distinct sites, in fractional coordinates, are Ba at (0.000, 0.500, 0.248), Bi at (0.500, 0.500, 0.000), Pb at (0.000, 0.000, 0.500), Pb at (0.000, 0.500, 0.860), Pb at (0.500, 0.500, 0.500), Au at (0.000, 0.000, 0.000) and Au at (0.000, 0.500, 0.616).

Its formation energy is -36.4 kJ/mol of atoms. The density of states at the Fermi level is 6.30 states/eV/f.u.



no.,electronic total energy (eV/atom)
1,-3.497
2,-3.318
3,-3.296
4,-3.443
5,-3.300
6,-3.650
7,-3.121
8,-3.863
9,-3.240
10,-3.413
11,-3.692
12,-3.325
13,-3.598
14,-3.617
15,-2.939
16,-3.326
17,-5.207
18,-5.593
19,-4.041
20,-3.666
21,-3.313
22,-3.616